# Nd4ScTl | Alexandria via LeMat-Bulk | PBE-GGA | relaxed
data_Nd4ScTl
_chemical_formula_sum 'Nd16 Sc4 Tl4'
_cell_length_a 8.922
_cell_length_b 14.287
_cell_length_c 6.500
_cell_angle_alpha 90.00
_cell_angle_beta 109.81
_cell_angle_gamma 90.00
_symmetry_space_group_name_H-M 'C 1 2/c 1'
_symmetry_Int_Tables_number 15
_symmetry_space_group_name_Hall '-C 2yc'
loop_
_atom_site_label
_atom_site_type_symbol
_atom_site_fract_x
_atom_site_fract_y
_atom_site_fract_z
Nd1 Nd 0.098 0.192 0.049
Nd2 Nd 0.205 0.391 0.378
Sc1 Sc 0.000 0.404 0.750
Tl1 Tl 0.000 0.002 0.750
# - ΔE_f: 0.07 eV per formula unit

=====

# Nd2ScTl3 | Alexandria via LeMat-Bulk | PBE-GGA | relaxed
data_Nd2ScTl3
_chemical_formula_sum 'Nd2 Sc1 Tl3'
_cell_length_a 3.752
_cell_length_b 3.752
_cell_length_c 11.750
_cell_angle_alpha 90.00
_cell_angle_beta 90.00
_cell_angle_gamma 90.00
_symmetry_space_group_name_H-M 'P 4/m m m'
_symmetry_Int_Tables_number 123
_symmetry_space_group_name_Hall '-P 4 2'
loop_
_atom_site_label
_atom_site_type_symbol
_atom_site_fract_x
_atom_site_fract_y
_atom_site_fract_z
Nd1 Nd 0.000 0.000 0.178
Sc1 Sc 0.000 0.000 0.500
Tl1 Tl 0.500 0.500 0.000
Tl2 Tl 0.500 0.500 0.356
# - ΔE_f: -2.11 eV per formula unit

=====

# NdSc2Tl | Alexandria via LeMat-Bulk | PBE-GGA | relaxed
data_NdSc2Tl
_chemical_formula_sum 'Nd4 Sc8 Tl4'
_cell_length_a 4.756
_cell_length_b 12.011
_cell_length_c 7.704
_cell_angle_alpha 90.00
_cell_angle_beta 90.00
_cell_angle_gamma 90.00
_symmetry_space_group_name_H-M 'C m c m'
_symmetry_Int_Tables_number 63
_symmetry_space_group_name_Hall '-C 2c 2'
loop_
_atom_site_label
_atom_site_type_symbol
_atom_site_fract_x
_atom_site_fract_y
_atom_site_fract_z
Nd1 Nd 0.000 0.059 0.250
Sc1 Sc 0.000 0.369 0.044
Tl1 Tl 0.000 0.215 0.750
# - ΔE_f: -0.49 eV per formula unit

=====

# NdSc2Tl3 | Alexandria via LeMat-Bulk | PBE-GGA | relaxed
data_NdSc2Tl3
_chemical_formula_sum 'Nd1 Sc2 Tl3'
_cell_length_a 3.660
_cell_length_b 3.660
_cell_length_c 11.388
_cell_angle_alpha 90.00
_cell_angle_beta 90.00
_cell_angle_gamma 90.00
_symmetry_space_group_name_H-M 'P 4/m m m'
_symmetry_Int_Tables_number 123
_symmetry_space_group_name_Hall '-P 4 2'
loop_
_atom_site_label
_atom_site_type_symbol
_atom_site_fract_x
_atom_site_fract_y
_atom_site_fract_z
Nd1 Nd 0.000 0.000 0.000
Sc1 Sc 0.000 0.000 0.345
Tl1 Tl 0.500 0.500 0.190
Tl2 Tl 0.500 0.500 0.500
# - ΔE_f: -1.84 eV per formula unit